Computed, not measured: a relaxed Ac2FeMoO6 crystal at the PBE with a Hubbard U level of DFT.

Lattice parameters (Å, degrees): 5.7735 5.7735 4.1246 90.00 90.00 90.00
Fractional coordinates of all 10 atoms:
Ac 0.0000 0.5000 0.0000
Ac 0.5000 0.0000 0.0000
Fe 0.0000 0.0000 0.5000
Mo 0.5000 0.5000 0.5000
O 0.0000 0.0000 0.0000
O 0.2425 0.2425 0.5000
O 0.2425 0.7575 0.5000
O 0.5000 0.5000 0.0000
O 0.7575 0.2425 0.5000
O 0.7575 0.7575 0.5000

Output
The value obtained for the calculated total energy is -7.5164 eV per atom.